1.
Below is an optimized crystal structure of Zn2AgPb, with properties calculated at the PBE level.

POSCAR file:
```
Zn2AgPb
1.0
-2.160 2.160 4.334
2.160 -2.160 4.334
2.160 2.160 -4.334
Zn Ag Pb
2 1 1
direct
0.250 0.750 0.500
0.750 0.250 0.500
0.000 0.000 0.000
0.500 0.500 0.000
```

Its formation enthalpy at 0 K is 16.8 kJ/mol of atoms. As for the density of states at the Fermi level: 0.292 states/eV per atom.

---

2.
Below is an optimized crystal structure of ZnAgPb, with properties calculated at the PBE level.

POSCAR file:
```
ZnAgPb
1.0
0.000 3.273 3.273
3.273 0.000 3.273
3.273 3.273 0.000
Zn Ag Pb
1 1 1
direct
0.000 0.000 0.000
0.750 0.750 0.750
0.250 0.250 0.250
```

Its formation enthalpy at 0 K is 13.3 kJ/mol of atoms. As for the density of states at the Fermi level: 0.343 states/eV per atom.

---

3.
Below is an optimized crystal structure of ZnAgPb3, with properties calculated at the PBE level.

POSCAR file:
```
ZnAgPb3
1.0
5.379 0.000 0.000
0.000 5.379 0.000
0.000 0.000 5.379
Zn Ag Pb
1 1 3
direct
0.000 0.000 0.000
0.500 0.500 0.500
0.000 0.000 0.500
0.000 0.500 0.000
0.500 0.000 0.000
```

Its formation enthalpy at 0 K is 42.2 kJ/mol of atoms. As for the density of states at the Fermi level: 0.541 states/eV per atom.

---

4.
Below is an optimized crystal structure of ZnAg2Pb, with properties calculated at the PBE level.

POSCAR file:
```
ZnAg2Pb
1.0
1.932 1.116 7.015
-1.932 1.116 7.015
0.000 -2.231 7.015
Zn Ag Pb
1 2 1
direct
0.000 0.000 0.000
0.400 0.400 0.400
0.600 0.600 0.600
0.167 0.167 0.167
```

Its formation enthalpy at 0 K is 20.3 kJ/mol of atoms. As for the density of states at the Fermi level: 0.358 states/eV per atom.

---

5.
Below is an optimized crystal structure of ZnAg2Pb, with properties calculated at the PBE level.

POSCAR file:
```
ZnAg2Pb
1.0
-2.135 2.135 9.681
2.135 -2.135 9.681
2.135 2.135 -9.681
Zn Ag Pb
2 4 2
direct
0.000 0.000 0.000
0.750 0.250 0.500
0.099 0.625 0.974
0.375 0.349 0.474
0.651 0.125 0.026
0.875 0.901 0.526
0.250 0.750 0.500
0.500 0.500 0.000
```

Its formation enthalpy at 0 K is 19.3 kJ/mol of atoms. As for the density of states at the Fermi level: 0.411 states/eV per atom.

---

6.
Below is an optimized crystal structure of ZnAg2Pb, with properties calculated at the PBE level.

POSCAR file:
```
ZnAg2Pb
1.0
3.322 0.000 0.000
0.000 3.334 0.000
0.000 0.000 7.377
Zn Ag Pb
1 2 1
direct
0.000 0.000 0.000
0.500 0.500 0.199
0.500 0.500 0.801
0.000 0.000 0.500
```

Its formation enthalpy at 0 K is 5.9 kJ/mol of atoms. As for the density of states at the Fermi level: 0.431 states/eV per atom.

---

7.
Below is an optimized crystal structure of Zn2AgPb, with properties calculated at the PBE level.

POSCAR file:
```
Zn2AgPb
1.0
-2.136 2.136 4.445
2.136 -2.136 4.445
2.136 2.136 -4.445
Zn Ag Pb
2 1 1
direct
0.000 0.000 0.000
0.750 0.250 0.500
0.250 0.750 0.500
0.500 0.500 0.000
```

Its formation enthalpy at 0 K is 16.2 kJ/mol of atoms. As for the density of states at the Fermi level: 0.332 states/eV per atom.

---

8.
Below is an optimized crystal structure of Zn2AgPb, with properties calculated at the PBE level.

POSCAR file:
```
Zn2AgPb
1.0
3.413 0.000 0.000
0.000 3.413 0.000
0.000 0.000 6.948
Zn Ag Pb
2 1 1
direct
0.000 0.000 0.000
0.500 0.500 0.186
0.000 0.000 0.393
0.500 0.500 0.702
```

Its formation enthalpy at 0 K is 9.4 kJ/mol of atoms. As for the density of states at the Fermi level: 0.266 states/eV per atom.

---

9.
Below is an optimized crystal structure of Zn2AgPb, with properties calculated at the PBE level.

POSCAR file:
```
Zn2AgPb
1.0
3.111 0.000 0.000
0.000 3.732 0.000
0.000 0.000 7.036
Zn Ag Pb
2 1 1
direct
0.000 0.000 0.198
0.000 0.000 0.802
0.500 0.500 0.000
0.500 0.500 0.500
```

Its formation enthalpy at 0 K is 12.2 kJ/mol of atoms. As for the density of states at the Fermi level: 0.442 states/eV per atom.

---

10.
Below is an optimized crystal structure of Zn2AgPb, with properties calculated at the PBE level.

POSCAR file:
```
Zn2AgPb
1.0
4.285 0.000 0.000
0.000 4.285 0.000
0.000 0.000 4.420
Zn Ag Pb
2 1 1
direct
0.000 0.500 0.000
0.500 0.000 0.000
0.000 0.000 0.500
0.500 0.500 0.500
```

Its formation enthalpy at 0 K is 17.4 kJ/mol of atoms. As for the density of states at the Fermi level: 0.383 states/eV per atom.

---

11.
Below is an optimized crystal structure of ZnAg2Pb, with properties calculated at the PBE level.

POSCAR file:
```
ZnAg2Pb
1.0
4.828 -1.747 0.000
4.828 1.747 0.000
-1.329 0.000 4.860
Zn Ag Pb
1 2 1
direct
0.000 0.000 0.000
0.265 0.265 0.782
0.735 0.735 0.218
0.500 0.500 0.500
```

Its formation enthalpy at 0 K is 11.5 kJ/mol of atoms. As for the density of states at the Fermi level: 0.407 states/eV per atom.

---

12.
Below is an optimized crystal structure of ZrZnAgPb2, with properties calculated at the PBE level.

POSCAR file:
```
ZrZnAgPb2
1.0
5.646 0.000 0.000
0.000 5.646 0.000
0.000 0.000 5.288
Zr Zn Ag Pb
1 1 1 2
direct
0.000 0.000 0.000
0.000 0.000 0.500
0.500 0.500 0.500
0.000 0.500 0.000
0.500 0.000 0.000
```

Its formation enthalpy at 0 K is 68.0 kJ/mol of atoms. As for the density of states at the Fermi level: 0.859 states/eV per atom.

---

13.
Below is an optimized crystal structure of ZrAgPb2, with properties calculated at the PBE level.

POSCAR file:
```
ZrAgPb2
1.0
0.000 3.695 3.695
3.695 0.000 3.695
3.695 3.695 0.000
Zr Ag Pb
1 1 2
direct
0.000 0.000 0.000
0.750 0.750 0.750
0.250 0.250 0.250
0.500 0.500 0.500
```

Its formation enthalpy at 0 K is 26.0 kJ/mol of atoms. As for the density of states at the Fermi level: 0.776 states/eV per atom.

---

14.
Below is an optimized crystal structure of ZrAgPb2, with properties calculated at the PBE level.

POSCAR file:
```
ZrAgPb2
1.0
-1.692 2.603 5.509
1.692 -2.603 5.509
1.692 2.603 -5.509
Zr Ag Pb
1 1 2
direct
0.000 0.000 0.000
0.230 0.730 0.500
0.474 0.474 0.000
0.745 0.245 0.500
```

Its formation enthalpy at 0 K is 1.8 kJ/mol of atoms. As for the density of states at the Fermi level: 0.441 states/eV per atom.

---

15.
Below is an optimized crystal structure of ZrAgPb2, with properties calculated at the PBE level.

POSCAR file:
```
ZrAgPb2
1.0
1.664 0.961 10.247
-1.664 0.961 10.247
0.000 -1.921 10.247
Zr Ag Pb
1 1 2
direct
0.000 0.000 0.000
0.500 0.500 0.500
0.247 0.247 0.247
0.753 0.753 0.753
```

Its formation enthalpy at 0 K is 5.7 kJ/mol of atoms. As for the density of states at the Fermi level: 0.207 states/eV per atom.

---

16.
Below is an optimized crystal structure of ZrAgPb2, with properties calculated at the PBE level.

POSCAR file:
```
ZrAgPb2
1.0
3.256 0.000 0.000
0.000 4.597 0.000
-0.416 0.000 6.633
Zr Ag Pb
1 1 2
direct
0.000 0.000 0.000
0.500 0.000 0.500
0.433 0.500 0.761
0.567 0.500 0.239
```

Its formation enthalpy at 0 K is 8.2 kJ/mol of atoms. As for the density of states at the Fermi level: 0.560 states/eV per atom.

---

17.
Below is an optimized crystal structure of ZrAgPb2, with properties calculated at the PBE level.

POSCAR file:
```
ZrAgPb2
1.0
1.796 -2.800 0.000
1.796 2.800 0.000
0.000 0.000 9.938
Zr Ag Pb
1 1 2
direct
0.000 0.000 0.000
0.000 0.000 0.500
0.500 0.500 0.254
0.500 0.500 0.746
```

Its formation enthalpy at 0 K is 10.4 kJ/mol of atoms. As for the density of states at the Fermi level: 0.626 states/eV per atom.

---

18.
Below is an optimized crystal structure of ZrAgPb2, with properties calculated at the PBE level.

POSCAR file:
```
ZrAgPb2
1.0
-3.976 3.976 3.219
3.976 -3.976 3.219
3.976 3.976 -3.219
Zr Ag Pb
2 2 4
direct
0.000 0.000 0.000
0.750 0.250 0.500
0.250 0.750 0.500
0.500 0.500 0.000
0.147 0.625 0.022
0.375 0.397 0.522
0.603 0.125 0.978
0.875 0.853 0.478
```

Its formation enthalpy at 0 K is 24.4 kJ/mol of atoms. As for the density of states at the Fermi level: 0.962 states/eV per atom.

---

19.
Below is an optimized crystal structure of Zr2AgPb2, with properties calculated at the PBE level.

POSCAR file:
```
Zr2AgPb2
1.0
7.626 0.000 0.000
0.000 7.626 0.000
0.000 0.000 4.247
Zr Ag Pb
4 2 4
direct
0.137 0.363 0.000
0.363 0.863 0.000
0.637 0.137 0.000
0.863 0.637 0.000
0.000 0.000 0.000
0.500 0.500 0.000
0.170 0.670 0.500
0.330 0.170 0.500
0.670 0.830 0.500
0.830 0.330 0.500
```

Its formation enthalpy at 0 K is 7.0 kJ/mol of atoms. As for the density of states at the Fermi level: 0.720 states/eV per atom.

---

20.
Below is an optimized crystal structure of ZrAgPb2, with properties calculated at the PBE level.

POSCAR file:
```
ZrAgPb2
1.0
-2.134 2.134 5.204
2.134 -2.134 5.204
2.134 2.134 -5.204
Zr Ag Pb
1 1 2
direct
0.000 0.000 0.000
0.250 0.750 0.500
0.500 0.500 0.000
0.750 0.250 0.500
```

Its formation enthalpy at 0 K is -0.4 kJ/mol of atoms. As for the density of states at the Fermi level: 0.429 states/eV per atom.